1.
DFT (SCAN) results for MgAl3Br at its PBEsol-relaxed geometry.

Computed properties:
- density of states at the Fermi level (states/eV/atom) = 0.53

Unit cell a=5.1898 b=5.1898 c=5.1898 alpha=90.00 beta=90.00 gamma=90.00
Sites, in units of the cell vectors:
Br 0.5000 0.5000 0.5000
Al 0.0000 0.0000 0.5000
Al 0.5000 0.0000 0.0000
Mg 0.0000 0.0000 0.0000
Al 0.0000 0.5000 0.0000

=====

2.
DFT (SCAN) results for Mn2AlBr at its PBEsol-relaxed geometry.

Computed properties:
- density of states at the Fermi level (states/eV/atom) = 1.06

Unit cell a=4.4261 b=4.4261 c=4.4261 alpha=60.00 beta=60.00 gamma=60.00
Sites, in units of the cell vectors:
Mn 0.7500 0.7500 0.7500
Mn 0.2500 0.2500 0.2500
Al 0.0000 0.0000 0.0000
Br 0.5000 0.5000 0.5000

=====

3.
DFT (SCAN) results for Mn2AlBr at its PBEsol-relaxed geometry.

Computed properties:
- density of states at the Fermi level (states/eV/atom) = 0.47

Unit cell a=3.0735 b=3.2088 c=6.8582 alpha=90.00 beta=90.00 gamma=90.00
Sites, in units of the cell vectors:
Br 0.5000 0.5000 0.5000
Al 0.5000 0.0000 0.0000
Mn 0.0000 0.5000 0.1973
Mn 0.0000 0.5000 0.8027

=====

4.
DFT (SCAN) results for Mn2AlBr at its PBEsol-relaxed geometry.

Computed properties:
- density of states at the Fermi level (states/eV/atom) = 0.58

Unit cell a=4.1547 b=4.5753 c=4.1547 alpha=63.00 beta=90.00 gamma=117.00
Sites, in units of the cell vectors:
Mn 0.2500 0.5000 0.2500
Al 0.5000 0.0000 0.5000
Br 0.0000 0.0000 0.0000
Mn 0.7500 0.5000 0.7500

=====

5.
DFT (SCAN) results for MnAlBr at its PBEsol-relaxed geometry.

Computed properties:
- density of states at the Fermi level (states/eV/atom) = 0.58

Unit cell a=4.4403 b=4.4403 c=4.4403 alpha=60.00 beta=60.00 gamma=60.00
Sites, in units of the cell vectors:
Br 0.2500 0.2500 0.2500
Al 0.5000 0.5000 0.5000
Mn 0.0000 0.0000 0.0000

=====

6.
DFT (SCAN) results for Mn2AlBr at its PBEsol-relaxed geometry.

Computed properties:
- density of states at the Fermi level (states/eV/atom) = 0.54

Unit cell a=3.0207 b=4.2630 c=5.0604 alpha=90.00 beta=90.00 gamma=90.00
Sites, in units of the cell vectors:
Mn 0.0000 0.0000 0.0000
Mn 0.5000 0.0000 0.5000
Al 0.5000 0.5000 0.0000
Br 0.0000 0.5000 0.5000

=====

7.
DFT (SCAN) results for MnAl2SBr at its PBEsol-relaxed geometry.

Computed properties:
- density of states at the Fermi level (states/eV/atom) = 0.52

Unit cell a=4.5059 b=5.2674 c=5.2674 alpha=90.00 beta=90.00 gamma=90.00
Sites, in units of the cell vectors:
Br 0.0000 0.0000 0.0000
Al 0.0000 0.0000 0.5000
Mn 0.5000 0.0000 0.0000
Al 0.0000 0.5000 0.0000
S 0.5000 0.5000 0.5000

=====

8.
DFT (SCAN) results for AlMo2Br at its PBEsol-relaxed geometry.

Computed properties:
- density of states at the Fermi level (states/eV/atom) = 0.59

Unit cell a=2.9561 b=2.9561 c=8.5959 alpha=90.00 beta=90.00 gamma=114.82
Sites, in units of the cell vectors:
Br 0.5000 0.5000 0.2489
Mo 0.5000 0.5000 0.7561
Al 0.0000 0.0000 0.5127
Mo 0.0000 0.0000 0.9823

=====

9.
DFT (SCAN) results for AlMo2Br at its PBEsol-relaxed geometry.

Computed properties:
- density of states at the Fermi level (states/eV/atom) = 0.83

Unit cell a=2.8355 b=2.8355 c=8.4904 alpha=90.00 beta=90.00 gamma=108.26
Sites, in units of the cell vectors:
Br 0.5000 0.5000 0.0000
Mo 0.0000 0.0000 0.7414
Mo 0.0000 0.0000 0.2586
Al 0.5000 0.5000 0.5000

=====

10.
DFT (SCAN) results for AlMo2Br at its PBEsol-relaxed geometry.

Computed properties:
- density of states at the Fermi level (states/eV/atom) = 0.98

Unit cell a=4.4302 b=4.4302 c=4.4302 alpha=60.00 beta=60.00 gamma=60.00
Sites, in units of the cell vectors:
Mo 0.2500 0.2500 0.2500
Br 0.5000 0.5000 0.5000
Al 0.0000 0.0000 0.0000
Mo 0.7500 0.7500 0.7500

=====

11.
DFT (SCAN) results for Al2MoBr at its PBEsol-relaxed geometry.

Computed properties:
- density of states at the Fermi level (states/eV/atom) = 0.53

Unit cell a=3.0336 b=3.0336 c=7.8043 alpha=90.00 beta=90.00 gamma=90.00
Sites, in units of the cell vectors:
Mo 0.5000 0.5000 0.7632
Br 0.0000 0.0000 0.5568
Al 0.0000 0.0000 0.9750
Al 0.5000 0.5000 0.2050

=====

12.
DFT (SCAN) results for Al2MoBr at its PBEsol-relaxed geometry.

Computed properties:
- density of states at the Fermi level (states/eV/atom) = 0.56

Unit cell a=4.0432 b=4.0432 c=5.0322 alpha=113.69 beta=113.69 gamma=90.00
Sites, in units of the cell vectors:
Mo 0.2500 0.7500 0.5000
Al 0.7500 0.2500 0.5000
Br 0.5000 0.5000 0.0000
Al 0.0000 0.0000 0.0000

=====

13.
DFT (SCAN) results for Al2MoBr at its PBEsol-relaxed geometry.

Computed properties:
- density of states at the Fermi level (states/eV/atom) = 0.94

Unit cell a=4.5531 b=4.5531 c=4.5531 alpha=60.00 beta=60.00 gamma=60.00
Sites, in units of the cell vectors:
Al 0.2500 0.2500 0.2500
Br 0.5000 0.5000 0.5000
Mo 0.7500 0.7500 0.7500
Al 0.0000 0.0000 0.0000

=====

14.
DFT (SCAN) results for AlMoSe2Br at its PBEsol-relaxed geometry.

Computed properties:
- density of states at the Fermi level (states/eV/atom) = 0.36

Unit cell a=4.7462 b=4.8994 c=4.8994 alpha=90.00 beta=90.00 gamma=90.00
Sites, in units of the cell vectors:
Se 0.0000 0.0000 0.5000
Al 0.0000 0.0000 0.0000
Br 0.5000 0.0000 0.0000
Se 0.0000 0.5000 0.0000
Mo 0.5000 0.5000 0.5000

=====

15.
DFT (SCAN) results for AlBrN2 at its PBEsol-relaxed geometry.

Computed properties:
- density of states at the Fermi level (states/eV/atom) = 0.25

Unit cell a=3.2388 b=3.2388 c=6.2979 alpha=75.10 beta=75.10 gamma=60.00
Sites, in units of the cell vectors:
N 0.8955 0.8955 0.3134
Br 0.5000 0.5000 0.5000
N 0.1045 0.1045 0.6866
Al 0.0000 0.0000 0.0000

=====

16.
DFT (SCAN) results for Al3BrN at its PBEsol-relaxed geometry.

Computed properties:
- density of states at the Fermi level (states/eV/atom) = 0.35

Unit cell a=4.3880 b=4.3880 c=4.3880 alpha=90.00 beta=90.00 gamma=90.00
Sites, in units of the cell vectors:
N 0.0000 0.0000 0.0000
Al 0.0000 0.5000 0.0000
Br 0.5000 0.5000 0.5000
Al 0.0000 0.0000 0.5000
Al 0.5000 0.0000 0.0000

=====

17.
DFT (SCAN) results for AlBrN2 at its PBEsol-relaxed geometry.

Computed properties:
- density of states at the Fermi level (states/eV/atom) = 0.09

Unit cell a=5.2632 b=5.3192 c=5.2632 alpha=60.35 beta=90.00 gamma=119.65
Sites, in units of the cell vectors:
Br 0.0000 0.0000 0.0000
Al 0.2500 0.5000 0.2500
Al 0.5000 0.0000 0.5000
N 0.3750 0.2500 0.1962
Br 0.7500 0.5000 0.7500
N 0.5538 0.7500 0.3750
N 0.8750 0.2500 0.5538
N 0.1962 0.7500 0.8750

=====

18.
DFT (SCAN) results for AlSBr3N at its PBEsol-relaxed geometry.

Computed properties:
- density of states at the Fermi level (states/eV/atom) = 0.00

Unit cell a=7.4280 b=9.5261 c=10.0475 alpha=90.00 beta=90.00 gamma=109.97
Sites, in units of the cell vectors:
Al 0.6115 0.3537 0.3730
Br 0.9275 0.0435 0.6769
Br 0.1306 0.2018 0.0292
Br 0.3694 0.2982 0.5292
Br 0.5725 0.4565 0.1769
N 0.8535 0.4582 0.4577
Al 0.1115 0.8537 0.1270
N 0.1465 0.5418 0.5423
S 0.0225 0.3814 0.4687
Br 0.6306 0.7018 0.4708
S 0.9775 0.6186 0.5313
N 0.6465 0.0418 0.9577
Br 0.4275 0.5435 0.8231
N 0.3535 0.9582 0.0423
Br 0.6975 0.1444 0.3380
S 0.4775 0.1186 0.9687
Br 0.3025 0.8556 0.6620
Br 0.1975 0.6444 0.1620
Br 0.8025 0.3556 0.8380
S 0.5225 0.8814 0.0313
Al 0.3885 0.6463 0.6270
Br 0.0725 0.9565 0.3231
Al 0.8885 0.1463 0.8730
Br 0.8694 0.7982 0.9708

=====

19.
DFT (SCAN) results for AlSe2BrN at its PBEsol-relaxed geometry.

Computed properties:
- density of states at the Fermi level (states/eV/atom) = 0.99

Unit cell a=3.5509 b=5.1057 c=5.1057 alpha=90.00 beta=90.00 gamma=90.00
Sites, in units of the cell vectors:
Al 0.0000 0.0000 0.0000
Se 0.0000 0.5000 0.0000
N 0.5000 0.0000 0.0000
Se 0.0000 0.0000 0.5000
Br 0.5000 0.5000 0.5000

=====

20.
DFT (SCAN) results for NaAlBr4 at its PBEsol-relaxed geometry.

Computed properties:
- density of states at the Fermi level (states/eV/atom) = 0.00

Unit cell a=7.5016 b=7.4073 c=13.7973 alpha=90.00 beta=90.00 gamma=90.00
Sites, in units of the cell vectors:
Br 0.9051 0.2500 0.5542
Na 0.0505 0.2500 0.3477
Na 0.9495 0.7500 0.6523
Br 0.7371 0.9983 0.3015
Al 0.7015 0.7500 0.8994
Br 0.2371 0.0017 0.1985
Br 0.7629 0.5017 0.8015
Br 0.7371 0.5017 0.3015
Br 0.2629 0.0017 0.6985
Na 0.4495 0.2500 0.8477
Br 0.1229 0.2500 0.9644
Br 0.7629 0.9983 0.8015
Br 0.3771 0.2500 0.4644
Br 0.2371 0.4983 0.1985
Al 0.7985 0.7500 0.3994
Br 0.4051 0.7500 0.9458
Br 0.6229 0.7500 0.5356
Br 0.2629 0.4983 0.6985
Br 0.0949 0.7500 0.4458
Na 0.5505 0.7500 0.1523
Al 0.2015 0.2500 0.6006
Br 0.8771 0.7500 0.0356
Al 0.2985 0.2500 0.1006
Br 0.5949 0.2500 0.0542

=====

no.,M_tot (Bohr magnetons per cell),ΔE_f (raw) (eV per atom)
1,0.000,0.680
2,5.981,0.445
3,7.232,-0.164
4,6.639,0.403
5,3.719,0.782
6,7.306,0.196
7,3.967,0.957
8,0.000,0.391
9,0.000,0.643
10,0.001,0.871
11,0.734,0.299
12,1.268,0.703
13,1.565,0.751
14,3.919,0.329
15,0.000,1.589
16,0.000,0.491
17,0.000,0.683
18,0.000,-0.691
19,0.004,0.475
20,0.000,-1.442